(1)
Below is a PBEsol-optimized structure of Ca3CoSi, with properties calculated at the meta-GGA SCAN level.

Unit cell a=5.520 b=5.520 c=5.520 alpha=90.00 beta=90.00 gamma=90.00
Site moments in Bohr magnetons follow the coordinates.
Positions (direct):
1 Co 0.500 0.500 0.500  2.28
2 Ca 0.500 0.000 0.000  -0.04
3 Ca 0.000 0.500 0.000  -0.04
4 Ca 0.000 0.000 0.500  -0.04
5 Si 0.000 0.000 0.000  0.03

magnetization = 1.38 Bohr magnetons per cell
volume = 33.65 Å³/atom
formation energy from raw total energies = 470 meV per atom
crystal system = cubic



(2)
Below is a PBEsol-optimized structure of NiTeRh2, with properties calculated at the meta-GGA SCAN level.

Unit cell a=3.063 b=3.063 c=7.843 alpha=78.74 beta=78.74 gamma=60.00
Site moments in Bohr magnetons follow the coordinates.
Positions (direct):
1 Ni 0.000 0.000 0.000  1.12
2 Te 0.500 0.500 0.500  -0.01
3 Rh 0.747 0.747 0.760  0.19
4 Rh 0.253 0.253 0.240  0.19

magnetization = 1.40 Bohr magnetons per cell
volume = 15.52 Å³/atom
formation energy from raw total energies = 273 meV per atom
crystal system = trigonal



Repeat the first record exactly.
Below is a PBEsol-optimized structure of Ca3CoSi, with properties calculated at the meta-GGA SCAN level.

Unit cell a=5.520 b=5.520 c=5.520 alpha=90.00 beta=90.00 gamma=90.00
Site moments in Bohr magnetons follow the coordinates.
Positions (direct):
1 Co 0.500 0.500 0.500  2.28
2 Ca 0.500 0.000 0.000  -0.04
3 Ca 0.000 0.500 0.000  -0.04
4 Ca 0.000 0.000 0.500  -0.04
5 Si 0.000 0.000 0.000  0.03

magnetization = 1.38 Bohr magnetons per cell
volume = 33.65 Å³/atom
formation energy from raw total energies = 470 meV per atom
crystal system = cubic



What did the first record say?
Below is a PBEsol-optimized structure of Ca3CoSi, with properties calculated at the meta-GGA SCAN level.

Unit cell a=5.520 b=5.520 c=5.520 alpha=90.00 beta=90.00 gamma=90.00
Site moments in Bohr magnetons follow the coordinates.
Positions (direct):
1 Co 0.500 0.500 0.500  2.28
2 Ca 0.500 0.000 0.000  -0.04
3 Ca 0.000 0.500 0.000  -0.04
4 Ca 0.000 0.000 0.500  -0.04
5 Si 0.000 0.000 0.000  0.03

magnetization = 1.38 Bohr magnetons per cell
volume = 33.65 Å³/atom
formation energy from raw total energies = 470 meV per atom
crystal system = cubic



> Which formula does entry 2 have?

NiTeRh2



> What is the formation energy from raw total energies in the first record?

470 meV per atom